(1)
VASP calculation (PBE) on a relaxed Pr2NdEr3Sb6 crystal.

Lattice parameters (Å, degrees): 4.4542 8.8918 9.9438 102.73 102.94 90.00
Atoms (fractional coordinates):
Pr (0.8335, 0.6671, 0.6670)
Pr (0.1665, 0.3329, 0.3330)
Nd (0.5000, 0.0000, 0.0000)
Er (0.5000, 0.5000, 0.0000)
Er (0.8331, 0.1667, 0.6663)
Er (0.1669, 0.8333, 0.3337)
Sb (0.3309, 0.9246, 0.6618)
Sb (0.6637, 0.5906, 0.3274)
Sb (0.6691, 0.0754, 0.3382)
Sb (0.9969, 0.2560, 0.9938)
Sb (0.0031, 0.7440, 0.0062)
Sb (0.3363, 0.4094, 0.6726)

Uncorrected formation energy in eV per atom: -1.137


(2)
VASP calculation (PBE) on a relaxed Ho2ErPt crystal.

Lattice parameters (Å, degrees): 6.4634 6.9920 9.5103 90.00 90.00 90.00
Atoms (fractional coordinates):
Ho (0.1801, 0.6816, 0.0604)
Ho (0.3199, 0.1816, 0.4396)
Ho (0.8199, 0.3184, 0.5604)
Ho (0.6801, 0.8184, 0.9396)
Ho (0.8199, 0.3184, 0.9396)
Ho (0.6801, 0.8184, 0.5604)
Ho (0.1801, 0.6816, 0.4396)
Ho (0.3199, 0.1816, 0.0604)
Er (0.6296, 0.5261, 0.2500)
Er (0.8704, 0.0261, 0.2500)
Er (0.3704, 0.4739, 0.7500)
Er (0.1296, 0.9739, 0.7500)
Pt (0.0469, 0.3901, 0.2500)
Pt (0.4531, 0.8901, 0.2500)
Pt (0.9531, 0.6099, 0.7500)
Pt (0.5469, 0.1099, 0.7500)

Calculated formation energy in meV per atom: -732
Distance to the lowest polymorph of the same formula in eV per atom: 0.000


(3)
VASP calculation (PBE) on a relaxed ZrAgCl2 crystal.

Lattice parameters (Å, degrees): 4.9029 4.9029 3.2920 90.00 90.00 100.23
Site moments in Bohr magnetons follow the coordinates.
Atoms (fractional coordinates):
Zr (0.5000, 0.0000, 0.5000)  0.39
Ag (0.0000, 0.5000, 0.5000)  0.00
Cl (0.0000, 0.0000, 0.0000)  0.00
Cl (0.5000, 0.5000, 0.0000)  0.00

Distance to the lowest polymorph of the same formula in eV per atom: 0.674
Uncorrected formation energy in eV per atom: -0.249


(4)
VASP calculation (PBE) on a relaxed ScZn2Mo crystal.

Lattice parameters (Å, degrees): 5.1200 5.1200 5.1200 135.21 135.21 65.20
Atoms (fractional coordinates):
Mo (0.5000, 0.5000, 0.0000)
Sc (0.7500, 0.2500, 0.5000)
Zn (0.0000, 0.0000, 0.0000)
Zn (0.2500, 0.7500, 0.5000)

Calculated formation energy in meV per atom: 6
Distance to the lowest polymorph of the same formula in eV per atom: 0.078


(5)
VASP calculation (PBE) on a relaxed Pm4Ho3In crystal.

Lattice parameters (Å, degrees): 5.1983 3.7005 13.9711 97.64 100.72 90.00
Atoms (fractional coordinates):
Pm (0.4056, 0.4051, 0.8113)
Pm (0.5944, 0.5949, 0.1887)
Pm (0.7167, 0.7175, 0.4333)
Pm (0.2833, 0.2825, 0.5667)
Ho (0.0000, 0.5000, 0.0000)
Ho (0.1479, 0.1489, 0.2958)
Ho (0.8521, 0.8511, 0.7042)
In (0.5000, 0.0000, 0.0000)

Calculated formation energy in meV per atom: -7
Distance to the lowest polymorph of the same formula in eV per atom: 0.071


(6)
VASP calculation (PBE) on a relaxed KZnAg crystal.

Lattice parameters (Å, degrees): 5.4871 5.4871 5.4871 60.00 60.00 60.00
Atoms (fractional coordinates):
Ag (0.5000, 0.5000, 0.5000)
K (0.7500, 0.7500, 0.7500)
Zn (0.0000, 0.0000, 0.0000)

Calculated formation energy in meV per atom: 448
Distance to the lowest polymorph of the same formula in eV per atom: 0.467


| no. | magnetization (μB/cell) | ρ (Mg/m³) | energy (eV per atom) |
| --- | --- | --- | --- |
| 1 | 0.00 | 7.37 | -5.533 |
| 2 | 0.00 | 10.70 | -5.671 |
| 3 | 0.56 | 5.76 | -4.022 |
| 4 | 0.00 | 6.87 | -4.922 |
| 5 | 0.00 | 7.55 | -4.442 |
| 6 | 0.00 | 3.02 | -1.293 |